Entry 1:
Computed, not measured: Y2Ru after structural relaxation at the PBEsol level of DFT.

```
6
Lattice="3.471 0.000 0.000 -1.736 6.297 0.000 0.000 0.000 6.598" Properties=species:S:1:pos:R:3 pbc="T T T"
Y 1.736 0.242 1.388
Ru 0.000 1.514 6.062
Y 0.000 2.764 3.548
Y 0.000 6.055 4.687
Ru 1.736 4.784 2.763
Y 1.736 3.533 0.249
```

Properties
crystal system	orthorhombic
total magnetic moment	0.0	μB per formula unit
DOS at the Fermi energy	0.457	states/eV/atom
density	6.4	Mg/m³
E_form	-0.23	eV/atom

Entry 2:
Computed, not measured: KSN2 after structural relaxation at the PBEsol level of DFT.

```
4
Lattice="-0.309 -2.837 0.316 2.286 -1.637 0.582 -0.453 -0.605 7.162" Properties=species:S:1:pos:R:3 pbc="T T T"
N 1.581 -4.159 3.341
K 0.000 0.000 0.000
N -0.057 -0.921 4.719
S 0.762 -2.540 4.030
```

Properties
VASP energy	-18.4	eV for the cell shown
crystal system	trigonal
total magnetic moment	0.0	μB per formula unit
DOS at the Fermi energy	0.266	states/eV/atom
density	3.3	Mg/m³

Entry 3:
Computed, not measured: LaMgTa2 after structural relaxation at the PBEsol level of DFT.

```
4
Lattice="3.127 0.000 0.000 0.000 5.214 0.000 -1.564 -2.607 5.194" Properties=species:S:1:pos:R:3 pbc="T T T"
Ta 0.000 0.000 2.540
Ta 1.564 2.607 2.654
Mg 1.564 0.000 0.000
La 0.000 2.607 0.000
```

Properties
crystal system	orthorhombic
total magnetic moment	0.0	μB per formula unit
DOS at the Fermi energy	1.017	states/eV/atom
density	10.3	Mg/m³
E_form	0.57	eV/atom

Entry 4:
Computed, not measured: BaLa3Pd after structural relaxation at the PBEsol level of DFT.

```
5
Lattice="5.732 0.000 0.000 0.000 5.732 0.000 0.000 0.000 5.732" Properties=species:S:1:pos:R:3 pbc="T T T"
Ba 0.000 0.000 0.000
La 0.000 2.866 0.000
La 0.000 0.000 2.866
La 2.866 0.000 0.000
Pd 2.866 2.866 2.866
```

Properties
crystal system	cubic
total magnetic moment	0.0	μB per formula unit
DOS at the Fermi energy	1.132	states/eV/atom
density	5.8	Mg/m³
E_form	1.02	eV/atom

Entry 5:
Computed, not measured: AlCr2Co after structural relaxation at the PBEsol level of DFT.

```
4
Lattice="-2.049 1.443 -0.397 -1.476 -1.833 0.950 0.714 2.814 6.536" Properties=species:S:1:pos:R:3 pbc="T T T"
Al -1.405 1.212 3.545
Cr 0.167 0.657 1.526
Co -1.762 -0.195 0.276
Cr 0.547 2.157 5.010
```

Properties
crystal system	tetragonal
total magnetic moment	0.2	μB per formula unit
DOS at the Fermi energy	0.800	states/eV/atom
density	6.8	Mg/m³
E_form	0.04	eV/atom

Entry 6:
Computed, not measured: KZrNi3 after structural relaxation at the PBEsol level of DFT.

```
5
Lattice="4.405 0.000 0.000 0.000 4.405 0.000 0.000 0.000 4.405" Properties=species:S:1:pos:R:3 pbc="T T T"
Ni 2.202 0.000 0.000
K 0.000 0.000 0.000
Ni 0.000 2.202 0.000
Zr 2.202 2.202 2.202
Ni 0.000 0.000 2.202
```

Properties
crystal system	cubic
total magnetic moment	0.0	μB per formula unit
DOS at the Fermi energy	1.235	states/eV/atom
density	6.0	Mg/m³
E_form	1.73	eV/atom